(1)
The following is a DFT calculation (PBE) of Dy2HoPaTc2 after structural relaxation.

Output
The formation energy is -0.06 eV/atom. Its density of states at the Fermi level is 22.9 states/eV/cell.

abc: 6.642 13.931 6.588
angles: 90.00 90.00 90.00
Space group Ibam (No. 72)
Inequivalent atoms, fractional coordinates:
1 Dy 0.237 0.190 0.000 x8
2 Ho 0.000 0.500 0.250 x4
3 Pa 0.000 0.000 0.250 x4
4 Tc 0.203 0.106 0.500 x8



(2)
The following is a DFT calculation (PBE) of NiGeIr after structural relaxation.

Output
The formation energy is -0.12 eV/atom. Its density of states at the Fermi level is 1.7 states/eV/cell.

abc: 4.0553 4.0553 2.8428
angles: 90.00 90.00 120.00
Space group P3m1 (No. 156)
Inequivalent atoms, fractional coordinates:
1 Ni 0.0000 0.0000 0.0000 x1
2 Ge 0.6667 0.3333 0.8607 x1
3 Ir 0.3333 0.6667 0.4928 x1



(3)
The following is a DFT calculation (PBE) of Pu2ZnHg after structural relaxation.

Output
The value obtained for the energy above the most stable polymorph in this dataset is 355.9 meV per atom. The formation energy is 0.31 eV/atom. Its density of states at the Fermi level is 45.3 states/eV/cell.

abc: 3.1969 3.1969 34.6780
angles: 90.00 90.00 120.00
Space group R-3m (No. 166, hexagonal axes)
Inequivalent atoms, fractional coordinates:
1 Pu 0.0000 0.0000 0.0875 x6
2 Zn 0.0000 0.0000 0.0000 x3
3 Hg 0.0000 0.0000 0.5000 x3



(4)
The following is a DFT calculation (PBE) of SrPdO3 after structural relaxation.

Output
Its raw formation energy is -0.89 eV per atom. Its density of states at the Fermi level is 0.0 states/eV/cell.

abc: 6.8601 6.8601 11.2422
angles: 90.00 90.00 120.00
Space group R3m (No. 160, hexagonal axes)
Inequivalent atoms, fractional coordinates:
1 Sr 0.0000 0.0000 0.0000 x3
2 Pd 0.0000 0.0000 0.7351 x3
3 O 0.0280 0.5140 0.4223 x9



(5)
The following is a DFT calculation (PBE) of LiHo6Se3S2 after structural relaxation.

Output
Its raw formation energy is -1.45 eV per atom. Its density of states at the Fermi level is 12.5 states/eV/cell.

abc: 17.507 3.941 8.168
angles: 90.00 103.44 90.00
Space group C2/m (No. 12)
Inequivalent atoms, fractional coordinates:
1 Li 0.000 0.000 0.000 x2
2 Ho 0.006 0.500 0.256 x4
3 Ho 0.169 0.000 0.101 x4
4 Ho 0.170 0.000 0.572 x4
5 Se 0.000 0.000 0.500 x2
6 Se 0.166 0.500 0.833 x4
7 S 0.169 0.500 0.339 x4



(6)
The following is a DFT calculation (PBE) of RbAcMgCl6 after structural relaxation.

Output
Its raw formation energy is -2.13 eV per atom. Its density of states at the Fermi level is 0.0 states/eV/cell.

abc: 7.1751 7.1751 14.1867
angles: 90.00 90.00 120.00
Space group P-31c (No. 163)
Inequivalent atoms, fractional coordinates:
1 Rb 0.0000 0.0000 0.0000 x2
2 Ac 0.3333 0.6667 0.2500 x2
3 Mg 0.3333 0.6667 0.7500 x2
4 Cl 0.0364 0.3885 0.6447 x12



(7)
The following is a DFT calculation (PBE) of KSrHI2 after structural relaxation.

Output
The raw total energy comes out at -15.00 eV/cell. Its density of states at the Fermi level is 0.0 states/eV/cell.

abc: 6.538 6.538 4.640
angles: 90.00 90.00 90.00
Space group P4/mmm (No. 123)
Inequivalent atoms, fractional coordinates:
1 K 0.000 0.000 0.000 x1
2 Sr 0.500 0.500 0.500 x1
3 H 0.500 0.500 0.000 x1
4 I 0.000 0.500 0.500 x2



(8)
The following is a DFT calculation (PBE) of Ca2RhCl after structural relaxation.

Output
Its raw formation energy is -0.93 eV per atom. The value obtained for the energy above the most stable polymorph in this dataset is 136.7 meV per atom. Its density of states at the Fermi level is 2.3 states/eV/cell.

abc: 4.774 3.513 10.774
angles: 90.00 90.00 90.00
Space group Amm2 (No. 38)
Inequivalent atoms, fractional coordinates:
1 Ca 0.000 0.000 0.000 x2
2 Ca 0.500 0.000 0.262 x2
3 Rh 0.000 0.000 0.741 x2
4 Cl 0.500 0.000 0.523 x2